Entry 1:
# MgAg4Se

Crystalline MgAg4Se at its relaxed geometry (GGA-PBE, the Alexandria database).

Cell lengths 7.833, 7.833, 7.833 Å; angles 90.00, 90.00, 90.00 degrees
Space group F-43m (No. 216)
Symmetry-distinct sites (fractional):
1 Mg 0.000 0.000 0.000 (multiplicity 4)
2 Ag 0.125 0.125 0.375 (multiplicity 16)
3 Se 0.250 0.250 0.750 (multiplicity 4)

Formation energy (no corrections) in eV per formula unit: 0.10
Total magnetic moment in μB/atom: 0.000

=====

Entry 2:
# EuTmCo4

Crystalline EuTmCo4 at its relaxed geometry (GGA-PBE, the Alexandria database).

Cell lengths 7.204, 7.204, 7.204 Å; angles 90.00, 90.00, 90.00 degrees
Space group F-43m (No. 216)
Symmetry-distinct sites (fractional):
1 Eu 0.000 0.000 0.000 (multiplicity 4)
2 Tm 0.250 0.250 0.250 (multiplicity 4)
3 Co 0.124 0.124 0.624 (multiplicity 16)

Total magnetic moment in μB/atom: 0.373
Formation energy from the elements in eV per atom: -0.08

=====

Entry 3:
# Ce2PmNd3N6

Crystalline Ce2PmNd3N6 at its relaxed geometry (GGA-PBE, the Alexandria database).

Cell lengths 6.254, 10.833, 6.257 Å; angles 90.00, 109.47, 90.00 degrees
Space group C2/m (No. 12)
Symmetry-distinct sites (fractional):
1 Ce 0.000 0.167 0.000 (multiplicity 4)
2 Pm 0.000 0.500 0.000 (multiplicity 2)
3 Nd 0.000 0.000 0.500 (multiplicity 2)
4 Nd 0.000 0.333 0.500 (multiplicity 4)
5 N 0.237 0.000 0.237 (multiplicity 4)
6 N 0.250 0.171 0.762 (multiplicity 8)

Formation energy (no corrections) in eV per formula unit: -17.36
Total magnetic moment in μB/atom: 0.000

=====

Entry 4:
# BaTe2As

Crystalline BaTe2As at its relaxed geometry (GGA-PBE, the Alexandria database).

Cell lengths 4.6824, 4.6824, 22.2924 Å; angles 90.00, 90.00, 120.00 degrees
Space group R3m (No. 160, hexagonal axes)
Symmetry-distinct sites (fractional):
1 Ba 0.0000 0.0000 0.0000 (multiplicity 3)
2 Te 0.0000 0.0000 0.5219 (multiplicity 3)
3 Te 0.0000 0.0000 0.7613 (multiplicity 3)
4 As 0.0000 0.0000 0.2364 (multiplicity 3)

Formation energy (no corrections) in eV per formula unit: -2.00
Total magnetic moment in μB/atom: 0.000

=====

Entry 5:
# YCd3Bi

Crystalline YCd3Bi at its relaxed geometry (GGA-PBE, the Alexandria database).

Cell lengths 5.606, 5.606, 5.606 Å; angles 90.00, 90.00, 90.00 degrees
Space group Pm-3m (No. 221)
Symmetry-distinct sites (fractional):
1 Y 0.000 0.000 0.000 (multiplicity 1)
2 Cd 0.000 0.500 0.500 (multiplicity 3)
3 Bi 0.500 0.500 0.500 (multiplicity 1)

Total magnetic moment in μB/atom: 0.000
Formation energy from the elements in eV per atom: 0.55
Polymorph energy (0 for the lowest one) in kJ/mol of atoms: 0.00

=====

Entry 6:
# ScHgO3

Crystalline ScHgO3 at its relaxed geometry (GGA-PBE, the Alexandria database).

Cell lengths 4.138, 4.138, 4.138 Å; angles 90.00, 90.00, 90.00 degrees
Space group Pm-3m (No. 221)
Symmetry-distinct sites (fractional):
1 Sc 0.000 0.000 0.000 (multiplicity 1)
2 Hg 0.500 0.500 0.500 (multiplicity 1)
3 O 0.000 0.500 0.500 (multiplicity 3)

Formation energy (no corrections) in eV per formula unit: -2.35
Total magnetic moment in μB/atom: 0.000

=====

Entry 7:
# BeSiAu

Crystalline BeSiAu at its relaxed geometry (GGA-PBE, the Alexandria database).

Cell lengths 2.9112, 2.9112, 5.7816 Å; angles 90.00, 90.00, 120.00 degrees
Space group P3m1 (No. 156)
Symmetry-distinct sites (fractional):
1 Be 0.0000 0.0000 0.0000 (multiplicity 1)
2 Si 0.6667 0.3333 0.3020 (multiplicity 1)
3 Au 0.3333 0.6667 0.6863 (multiplicity 1)

Formation energy (no corrections) in eV per formula unit: 0.62
Total magnetic moment in μB/atom: 0.000
Polymorph energy (0 for the lowest one) in kJ/mol of atoms: 21.58

=====

Entry 8:
# Re4AsRh

Crystalline Re4AsRh at its relaxed geometry (GGA-PBE, the Alexandria database).

Cell lengths 7.352, 7.352, 7.352 Å; angles 90.00, 90.00, 90.00 degrees
Space group F-43m (No. 216)
Symmetry-distinct sites (fractional):
1 Re 0.124 0.124 0.124 (multiplicity 16)
2 As 0.000 0.000 0.500 (multiplicity 4)
3 Rh 0.250 0.250 0.750 (multiplicity 4)

Total magnetic moment in μB/atom: 0.000
Formation energy from the elements in eV per atom: 0.74